Record 1
Crystalline AgRhW2 at its relaxed geometry. Source: the Alexandria database, functional PBE-GGA.

Calculated values
Calculated volume in Å³/cell: 63.7
Total moment in Bohr magnetons per cell: 0.0
ΔE_f in meV per atom: 369
Relative energy among the computed polymorphs in meV/atom: 156

Cell lengths 5.0131, 5.0131, 4.6849 Å; angles 101.98, 101.98, 33.66 degrees
Positions (direct):
Ag1 0.0000 0.0000 0.0000
Rh1 0.5000 0.5000 0.5000
W1 0.2427 0.2427 0.7349
W2 0.7573 0.7573 0.2651

Record 2
Crystalline AgRhW2 at its relaxed geometry. Source: the Alexandria database, functional PBE-GGA.

Calculated values
Calculated volume in Å³/cell: 64.3
Total moment in Bohr magnetons per cell: 0.0
ΔE_f in meV per atom: 824
Relative energy among the computed polymorphs in meV/atom: 610

Cell lengths 4.4958, 4.4958, 4.4958 Å; angles 60.00, 60.00, 60.00 degrees
Positions (direct):
Ag1 0.0000 0.0000 0.0000
Rh1 0.5000 0.5000 0.5000
W1 0.2500 0.2500 0.2500
W2 0.7500 0.7500 0.7500

Record 3
Crystalline AgRh2W at its relaxed geometry. Source: the Alexandria database, functional PBE-GGA.

Calculated values
Calculated volume in Å³/cell: 62.4
Total moment in Bohr magnetons per cell: 1.0
ΔE_f in meV per atom: 196
Relative energy among the computed polymorphs in meV/atom: 234

Cell lengths 9.4517, 9.4517, 9.4517 Å; angles 16.92, 16.92, 16.92 degrees
Positions (direct):
Ag1 0.0000 0.0000 0.0000
Rh1 0.5004 0.5004 0.5004
Rh2 0.7522 0.7522 0.7522
W1 0.2435 0.2435 0.2435

Record 4
Crystalline AgRhW2 at its relaxed geometry. Source: the Alexandria database, functional PBE-GGA.

Calculated values
Calculated volume in Å³/cell: 64.6
Total moment in Bohr magnetons per cell: 0.0
ΔE_f in meV per atom: 369
Relative energy among the computed polymorphs in meV/atom: 155

Cell lengths 3.2644, 3.2644, 6.0612 Å; angles 90.00, 90.00, 90.00 degrees
Positions (direct):
Ag1 0.0000 0.0000 0.0000
Rh1 0.5000 0.5000 0.2623
W1 0.0000 0.0000 0.4895
W2 0.5000 0.5000 0.7260

Record 5
Crystalline AgRhW2 at its relaxed geometry. Source: the Alexandria database, functional PBE-GGA.

Calculated values
Calculated volume in Å³/cell: 63.9
Total moment in Bohr magnetons per cell: 0.0
ΔE_f in meV per atom: 299
Relative energy among the computed polymorphs in meV/atom: 86

Cell lengths 9.6112, 9.6112, 9.6112 Å; angles 16.69, 16.69, 16.69 degrees
Positions (direct):
Ag1 0.0000 0.0000 0.0000
Rh1 0.5000 0.5000 0.5000
W1 0.2455 0.2455 0.2455
W2 0.7545 0.7545 0.7545

Record 6
Crystalline Ag2RhW at its relaxed geometry. Source: the Alexandria database, functional PBE-GGA.

Calculated values
Calculated volume in Å³/cell: 65.7
Total moment in Bohr magnetons per cell: 0.0
ΔE_f in meV per atom: 616
Relative energy among the computed polymorphs in meV/atom: 467

Cell lengths 3.7571, 3.7571, 4.6554 Å; angles 90.00, 90.00, 90.00 degrees
Positions (direct):
Ag1 0.0000 0.5000 0.0000
Ag2 0.5000 0.0000 0.0000
Rh1 0.0000 0.0000 0.5000
W1 0.5000 0.5000 0.5000

Record 7
Crystalline Ag2RhW at its relaxed geometry. Source: the Alexandria database, functional PBE-GGA.

Calculated values
Calculated volume in Å³/cell: 64.9
Total moment in Bohr magnetons per cell: 0.5
ΔE_f in meV per atom: 566
Relative energy among the computed polymorphs in meV/atom: 418

Cell lengths 4.5116, 4.5116, 4.5116 Å; angles 60.00, 60.00, 60.00 degrees
Positions (direct):
Ag1 0.0000 0.0000 0.0000
Ag2 0.2500 0.2500 0.2500
Rh1 0.7500 0.7500 0.7500
W1 0.5000 0.5000 0.5000

Record 8
Crystalline AgRhW2 at its relaxed geometry. Source: the Alexandria database, functional PBE-GGA.

Calculated values
Calculated volume in Å³/cell: 64.3
Total moment in Bohr magnetons per cell: 0.0
ΔE_f in meV per atom: 223
Relative energy among the computed polymorphs in meV/atom: 10

Cell lengths 2.7594, 2.7594, 8.4379 Å; angles 90.00, 90.00, 90.00 degrees
Positions (direct):
Ag1 0.0000 0.0000 0.0000
Rh1 0.5000 0.5000 0.2621
W1 0.0000 0.0000 0.4775
W2 0.5000 0.5000 0.7372

Record 9
Crystalline Ag2RhW at its relaxed geometry. Source: the Alexandria database, functional PBE-GGA.

Calculated values
Calculated volume in Å³/cell: 142.6
Total moment in Bohr magnetons per cell: 0.0
ΔE_f in meV per atom: 1103
Relative energy among the computed polymorphs in meV/atom: 955

Cell lengths 5.8542, 5.8542, 5.8542 Å; angles 101.22, 101.22, 127.64 degrees
Positions (direct):
Ag1 0.1227 0.6250 0.9977
Ag2 0.3750 0.3727 0.4977
Ag3 0.6273 0.1250 0.0023
Ag4 0.8750 0.8773 0.5023
Rh1 0.0000 0.0000 0.0000
Rh2 0.7500 0.2500 0.5000
W1 0.2500 0.7500 0.5000
W2 0.5000 0.5000 0.0000

Record 10
Crystalline Ag2RhW at its relaxed geometry. Source: the Alexandria database, functional PBE-GGA.

Calculated values
Calculated volume in Å³/cell: 66.3
Total moment in Bohr magnetons per cell: 0.0
ΔE_f in meV per atom: 242
Relative energy among the computed polymorphs in meV/atom: 94

Cell lengths 2.7594, 2.7594, 9.5786 Å; angles 90.00, 90.00, 114.65 degrees
Positions (direct):
Ag1 0.0000 0.0000 0.0000
Ag2 0.5000 0.5000 0.2593
Rh1 0.0000 0.0000 0.5162
W1 0.5000 0.5000 0.7388

Record 11
Crystalline AgRh2W at its relaxed geometry. Source: the Alexandria database, functional PBE-GGA.

Calculated values
Calculated volume in Å³/cell: 62.5
Total moment in Bohr magnetons per cell: 0.0
ΔE_f in meV per atom: -38
Relative energy among the computed polymorphs in meV/atom: 0

Cell lengths 2.8204, 2.8204, 7.8511 Å; angles 90.00, 90.00, 90.00 degrees
Positions (direct):
Ag1 0.0000 0.0000 0.0000
Rh1 0.5000 0.5000 0.2698
Rh2 0.5000 0.5000 0.7302
W1 0.0000 0.0000 0.5000

Record 12
Crystalline AgRhW2 at its relaxed geometry. Source: the Alexandria database, functional PBE-GGA.

Calculated values
Calculated volume in Å³/cell: 63.4
Total moment in Bohr magnetons per cell: 0.0
ΔE_f in meV per atom: 315
Relative energy among the computed polymorphs in meV/atom: 101

Cell lengths 2.7409, 2.7409, 8.4360 Å; angles 90.00, 90.00, 90.00 degrees
Positions (direct):
Ag1 0.0000 0.0000 0.0000
Rh1 0.0000 0.0000 0.5000
W1 0.5000 0.5000 0.2661
W2 0.5000 0.5000 0.7339

Record 13
Crystalline AgRh2W at its relaxed geometry. Source: the Alexandria database, functional PBE-GGA.

Calculated values
Calculated volume in Å³/cell: 60.8
Total moment in Bohr magnetons per cell: 0.0
ΔE_f in meV per atom: 187
Relative energy among the computed polymorphs in meV/atom: 226

Cell lengths 4.9405, 4.9405, 4.9405 Å; angles 134.29, 134.29, 66.64 degrees
Positions (direct):
Ag1 0.0000 0.0000 0.0000
Rh1 0.5000 0.5000 0.0000
Rh2 0.7500 0.2500 0.5000
W1 0.2500 0.7500 0.5000

Record 14
Crystalline AgRh2W at its relaxed geometry. Source: the Alexandria database, functional PBE-GGA.

Calculated values
Calculated volume in Å³/cell: 60.7
Total moment in Bohr magnetons per cell: 0.0
ΔE_f in meV per atom: 94
Relative energy among the computed polymorphs in meV/atom: 132

Cell lengths 4.6903, 4.6903, 4.6903 Å; angles 128.98, 128.98, 75.04 degrees
Positions (direct):
Ag1 0.0000 0.0000 0.0000
Rh1 0.2500 0.7500 0.5000
Rh2 0.7500 0.2500 0.5000
W1 0.5000 0.5000 0.0000

Record 15
Crystalline AgRh2W at its relaxed geometry. Source: the Alexandria database, functional PBE-GGA.

Calculated values
Calculated volume in Å³/cell: 63.1
Total moment in Bohr magnetons per cell: 0.5
ΔE_f in meV per atom: 318
Relative energy among the computed polymorphs in meV/atom: 356

Cell lengths 2.7130, 2.7130, 9.4854 Å; angles 90.00, 90.00, 115.43 degrees
Positions (direct):
Ag1 0.0000 0.0000 0.0000
Rh1 0.0000 0.0000 0.5012
Rh2 0.5000 0.5000 0.2555
W1 0.5000 0.5000 0.7330

Record 16
Crystalline AgRh2W at its relaxed geometry. Source: the Alexandria database, functional PBE-GGA.

Calculated values
Calculated volume in Å³/cell: 61.8
Total moment in Bohr magnetons per cell: 0.0
ΔE_f in meV per atom: 179
Relative energy among the computed polymorphs in meV/atom: 217

Cell lengths 2.7709, 4.0577, 5.4959 Å; angles 90.00, 90.00, 90.00 degrees
Positions (direct):
Ag1 0.0000 0.0000 0.0000
Rh1 0.0000 0.0000 0.5074
Rh2 0.5000 0.5000 0.2465
W1 0.5000 0.5000 0.7099

Record 17
Crystalline AgRh2W at its relaxed geometry. Source: the Alexandria database, functional PBE-GGA.

Calculated values
Calculated volume in Å³/cell: 61.8
Total moment in Bohr magnetons per cell: 0.3
ΔE_f in meV per atom: 244
Relative energy among the computed polymorphs in meV/atom: 282

Cell lengths 2.7460, 2.7460, 8.2000 Å; angles 90.00, 90.00, 90.00 degrees
Positions (direct):
Ag1 0.0000 0.0000 0.0000
Rh1 0.0000 0.0000 0.4958
Rh2 0.5000 0.5000 0.2581
W1 0.5000 0.5000 0.7308

Record 18
Crystalline AgRhW2 at its relaxed geometry. Source: the Alexandria database, functional PBE-GGA.

Calculated values
Calculated volume in Å³/cell: 63.4
Total moment in Bohr magnetons per cell: 0.0
ΔE_f in meV per atom: 463
Relative energy among the computed polymorphs in meV/atom: 250

Cell lengths 4.8149, 4.8149, 4.8149 Å; angles 130.32, 130.32, 72.89 degrees
Positions (direct):
Ag1 0.0000 0.0000 0.0000
Rh1 0.2500 0.7500 0.5000
W1 0.5000 0.5000 0.0000
W2 0.7500 0.2500 0.5000

Record 19
Crystalline AgRhW3 at its relaxed geometry. Source: the Alexandria database, functional PBE-GGA.

Calculated values
Calculated volume in Å³/cell: 104.3
Total moment in Bohr magnetons per cell: 0.0
ΔE_f in meV per atom: 2024
Relative energy among the computed polymorphs in meV/atom: 0

Cell lengths 4.7070, 4.7070, 4.7070 Å; angles 90.00, 90.00, 90.00 degrees
Positions (direct):
Ag1 0.0000 0.0000 0.0000
Rh1 0.5000 0.5000 0.5000
W1 0.0000 0.5000 0.5000
W2 0.5000 0.0000 0.5000
W3 0.5000 0.5000 0.0000

Record 20
Crystalline Ag2RhW at its relaxed geometry. Source: the Alexandria database, functional PBE-GGA.

Calculated values
Calculated volume in Å³/cell: 64.4
Total moment in Bohr magnetons per cell: 0.0
ΔE_f in meV per atom: 389
Relative energy among the computed polymorphs in meV/atom: 240

Cell lengths 5.0964, 5.0964, 4.7366 Å; angles 98.70, 98.70, 32.04 degrees
Positions (direct):
Ag1 0.2501 0.2501 0.2496
Ag2 0.7499 0.7499 0.7504
Rh1 0.0000 0.0000 0.5000
W1 0.5000 0.5000 0.0000